w | # KHfFe3

A relaxed structure of KHfFe3 (GGA-PBE, Alexandria via LeMat-Bulk).

POSCAR file:
```
KHfFe3
1.0
4.9053 0.0000 0.0000
0.0000 4.9053 0.0000
0.0000 0.0000 4.9053
K Hf Fe
1 1 3
Direct
0.0000 0.0000 0.0000
0.5000 0.5000 0.5000
0.0000 0.5000 0.5000
0.5000 0.0000 0.5000
0.5000 0.5000 0.0000
```

---

x | # KHfFe3

A relaxed structure of KHfFe3 (GGA-PBE, Alexandria via LeMat-Bulk).

POSCAR file:
```
KHfFe3
1.0
4.4203 0.0000 0.0000
0.0000 4.4203 0.0000
0.0000 0.0000 4.4203
K Hf Fe
1 1 3
Direct
0.0000 0.0000 0.0000
0.5000 0.5000 0.5000
0.0000 0.0000 0.5000
0.0000 0.5000 0.0000
0.5000 0.0000 0.0000
```

---

Result of the stability comparison: x is the least stable of them.

---

w | # LaHf2Fe

A relaxed structure of LaHf2Fe (GGA-PBE, Alexandria via LeMat-Bulk).

POSCAR file:
```
LaHf2Fe
1.0
0.0000 3.4134 3.4134
3.4134 0.0000 3.4134
3.4134 3.4134 0.0000
La Hf Fe
1 2 1
Direct
0.0000 0.0000 0.0000
0.2500 0.2500 0.2500
0.7500 0.7500 0.7500
0.5000 0.5000 0.5000
```

---

x | # LaHf2Fe

A relaxed structure of LaHf2Fe (GGA-PBE, Alexandria via LeMat-Bulk).

POSCAR file:
```
LaHf2Fe
1.0
-2.7180 2.7180 7.9833
2.7180 -2.7180 7.9833
2.7180 2.7180 -7.9833
La Hf Fe
2 4 2
Direct
0.3750 0.6250 0.7500
0.6250 0.3750 0.2500
0.0000 0.0000 0.0000
0.0000 0.0000 0.5000
0.0000 0.5000 0.0000
0.5000 0.0000 0.5000
0.1250 0.8750 0.2500
0.8750 0.1250 0.7500
```

---

Result of the stability comparison: x is the least stable of them.

---

w | # LaHfFe3

A relaxed structure of LaHfFe3 (GGA-PBE, Alexandria via LeMat-Bulk).

POSCAR file:
```
LaHfFe3
1.0
4.4716 0.0000 0.0000
0.0000 4.4716 0.0000
0.0000 0.0000 4.4716
La Hf Fe
1 1 3
Direct
0.0000 0.0000 0.0000
0.5000 0.5000 0.5000
0.0000 0.0000 0.5000
0.0000 0.5000 0.0000
0.5000 0.0000 0.0000
```

---

x | # LaHfFe3

A relaxed structure of LaHfFe3 (GGA-PBE, Alexandria via LeMat-Bulk).

POSCAR file:
```
LaHfFe3
1.0
4.7639 0.0000 0.0000
0.0000 4.7639 0.0000
0.0000 0.0000 4.7639
La Hf Fe
1 1 3
Direct
0.0000 0.0000 0.0000
0.5000 0.5000 0.5000
0.0000 0.5000 0.5000
0.5000 0.0000 0.5000
0.5000 0.5000 0.0000
```

---

Result of the stability comparison: w is the least stable of them.

---

w | # La2Hf2Fe

A relaxed structure of La2Hf2Fe (GGA-PBE, Alexandria via LeMat-Bulk).

POSCAR file:
```
La2Hf2Fe
1.0
6.6577 0.0000 0.0000
0.0000 6.6577 0.0000
0.0000 0.0000 5.6714
La Hf Fe
4 4 2
Direct
0.1688 0.3312 0.0000
0.3312 0.8312 0.0000
0.6688 0.1688 0.0000
0.8312 0.6688 0.0000
0.1632 0.6632 0.5000
0.3368 0.1632 0.5000
0.6632 0.8368 0.5000
0.8368 0.3368 0.5000
0.0000 0.0000 0.5000
0.5000 0.5000 0.5000
```

---

x | # La2Hf2Fe

A relaxed structure of La2Hf2Fe (GGA-PBE, Alexandria via LeMat-Bulk).

POSCAR file:
```
La2Hf2Fe
1.0
-1.9374 1.9374 8.4150
1.9374 -1.9374 8.4150
1.9374 1.9374 -8.4150
La Hf Fe
2 2 1
Direct
0.2500 0.7500 0.5000
0.7500 0.2500 0.5000
0.0773 0.0773 0.0000
0.9227 0.9227 0.0000
0.5000 0.5000 0.0000
```

---

Result of the stability comparison: x is the least stable of them.